No. 1
PbN2F2 | PBE | relaxed Values from VASP.

```
&SYSTEM
  ibrav = 0, nat = 5, ntyp = 3
/
ATOMIC_SPECIES
F 19.00 F.upf
N 14.01 N.upf
Pb 207.20 Pb.upf
ATOMIC_POSITIONS angstrom
F 1.4864 0.2492 1.9375
N -0.3200 1.8423 0.0085
F 0.0000 0.0000 0.0000
Pb -0.2869 1.8337 3.0941
N -1.4533 -0.2578 1.1481
CELL_PARAMETERS angstrom
-0.6400 3.6846 0.0171
-2.9065 -0.5155 2.2962
2.9728 0.4984 3.8749
```

Output
As for the symmetry: P4/mmm (123). For the energy above the most stable polymorph in this dataset, the calculation gives 12.29 eV per formula unit.



No. 2
PbNF2 | PBE | relaxed Values from VASP.

```
&SYSTEM
  ibrav = 0, nat = 8, ntyp = 3
/
ATOMIC_SPECIES
Pb 207.20 Pb.upf
F 19.00 F.upf
N 14.01 N.upf
ATOMIC_POSITIONS angstrom
Pb 0.0000 0.0000 0.0000
F -0.6718 -2.7651 2.0105
N 0.2274 -2.5395 -0.1698
N 2.2988 -3.8816 3.4499
Pb -0.2060 -4.1351 3.8873
F 1.8319 -2.5130 1.5732
F 1.3997 -4.1085 5.6301
F 1.6257 -6.6469 5.4606
CELL_PARAMETERS angstrom
-2.2774 -2.7930 0.2677
2.7322 -2.2860 -0.6072
1.6380 -2.9377 7.6768
```

Output
As for the symmetry: I-42d (122). For the energy above the most stable polymorph in this dataset, the calculation gives 1.18 eV per formula unit.



No. 3
PbNF2 | PBE | relaxed Values from VASP.

```
&SYSTEM
  ibrav = 0, nat = 4, ntyp = 3
/
ATOMIC_SPECIES
Pb 207.20 Pb.upf
F 19.00 F.upf
N 14.01 N.upf
ATOMIC_POSITIONS angstrom
Pb 3.0912 3.0912 3.0912
F 1.5456 1.5456 1.5456
F 4.6369 4.6369 4.6369
N 0.0000 0.0000 0.0000
CELL_PARAMETERS angstrom
0.0000 3.0912 3.0912
3.0912 0.0000 3.0912
3.0912 3.0912 0.0000
```

Output
As for the symmetry: Fm-3m (225). For the energy above the most stable polymorph in this dataset, the calculation gives 0.16 eV per formula unit.



No. 4
PbNF3 | PBE | relaxed Values from VASP.

```
&SYSTEM
  ibrav = 0, nat = 5, ntyp = 3
/
ATOMIC_SPECIES
F 19.00 F.upf
Pb 207.20 Pb.upf
N 14.01 N.upf
ATOMIC_POSITIONS angstrom
F 1.3953 0.4387 1.4470
F 0.1230 -1.9954 0.4863
Pb 0.0114 -1.3134 3.3128
N 0.0000 0.0000 0.0000
F -1.5070 0.2433 1.3795
CELL_PARAMETERS angstrom
-3.0140 0.4866 2.7589
0.2461 -3.9908 0.9726
2.7907 0.8774 2.8940
```

Output
As for the symmetry: Pm-3m (221). For the energy above the most stable polymorph in this dataset, the calculation gives 1.44 eV per formula unit.



No. 5
PbNF | PBE | relaxed Values from VASP.

```
&SYSTEM
  ibrav = 0, nat = 6, ntyp = 3
/
ATOMIC_SPECIES
Pb 207.20 Pb.upf
N 14.01 N.upf
F 19.00 F.upf
ATOMIC_POSITIONS angstrom
Pb 10.3080 5.9548 2.8439
Pb 7.9842 4.6124 0.6663
N 7.0426 4.0684 4.2327
F 5.9992 3.4657 1.5665
N 7.2556 4.1915 5.3376
F 9.8246 5.6756 5.3172
CELL_PARAMETERS angstrom
5.8248 0.7445 0.3793
3.5547 4.6740 0.3793
6.1057 3.5272 5.9860
```

Output
As for the symmetry: Cm (8). Its total energy is -33.02 eV/cell.



No. 6
Pb2N2F5 | PBE | relaxed Values from VASP.

```
&SYSTEM
  ibrav = 0, nat = 9, ntyp = 3
/
ATOMIC_SPECIES
Pb 207.20 Pb.upf
N 14.01 N.upf
F 19.00 F.upf
ATOMIC_POSITIONS angstrom
Pb 0.0483 -2.8855 -4.4806
Pb -3.8043 -2.3013 2.9387
N -2.2572 -2.2522 -0.9947
F -5.5407 1.7222 0.6689
F -0.3406 -0.7142 -3.8023
F -2.5438 1.2677 -5.1024
N -3.6241 3.2602 -2.1386
F 0.0000 0.0000 0.0000
F -3.3375 -0.2598 1.9690
CELL_PARAMETERS angstrom
1.1189 -3.0478 -6.5423
-4.8748 -2.1389 5.0003
-2.1253 6.1947 -1.5914
```

Output
As for the symmetry: Fmmm (69). Its total energy is -47.67 eV/cell.